## Zr2MnZn (PBE-GGA)

Data for crystalline Zr2MnZn at its relaxed geometry.

Unit cell a=5.3295 b=5.3295 c=5.3295 alpha=135.55 beta=135.55 gamma=64.68
With the nearest neighbours (Å) after each atom.
Fractional coordinates of all 4 atoms:
Zr  0.2500  0.7500  0.5000  4 Zn 2.85, 4 Mn 3.02, 4 Zr 3.02
Zr  0.0000  0.0000  0.0000  4 Mn 2.85, 4 Zr 3.02, 4 Zn 3.02
Mn  0.5000  0.5000  0.0000  8 Zr 2.85-3.02, 4 Zn 3.02
Zn  0.7500  0.2500  0.5000  8 Zr 2.85-3.02, 4 Mn 3.02

Values from the calculation:
total energy	-6.90	eV per atom
E_form	-13	meV per atom
SG	I-4m2, No. 119


## ZrMn2Zn (PBE-GGA)

Data for crystalline ZrMn2Zn at its relaxed geometry.

Unit cell a=3.0277 b=3.0277 c=6.7278 alpha=90.00 beta=90.00 gamma=90.00
With the nearest neighbours (Å) after each atom.
Fractional coordinates of all 4 atoms:
Mn  0.5000  0.5000  0.2301  4 Mn 2.45, 4 Zn 2.64
Mn  0.0000  0.0000  0.0516  4 Mn 2.45, 1 Zn 2.75
Zr  0.5000  0.5000  0.7586  5 Mn 2.91-3.17, 4 Zn 2.94, 4 Zr 3.03
Zn  0.0000  0.0000  0.4597  5 Mn 2.64-2.75, 4 Zr 2.94

Values from the calculation:
total energy	-7.07	eV per atom
E_form	-27	meV per atom
SG	P4mm, No. 99